Record 1
# PBE-GGA PmHfAlTc, relaxed
# theoretical density = 9.039 g/cm3
data_PmHfAlTc
_chemical_formula_sum 'Pm4 Hf4 Al4 Tc4'
_space_group_name_H-M_alt 'F -4 3 m'
_space_group_IT_number 216
_space_group_name_Hall 'F -4 2 3'
_cell_length_a 6.907
_cell_length_b 6.907
_cell_length_c 6.907
_cell_angle_alpha 90.00
_cell_angle_beta 90.00
_cell_angle_gamma 90.00
loop_
_atom_site_label
_atom_site_type_symbol
_atom_site_fract_x
_atom_site_fract_y
_atom_site_fract_z
Pm1 Pm 0.000 0.000 0.000
Hf1 Hf 0.000 0.000 0.500
Al1 Al 0.250 0.250 0.750
Tc1 Tc 0.250 0.250 0.250

Record 2
# PBE-GGA PmHfAlZn, relaxed
# theoretical density = 8.080 g/cm3
data_PmHfAlZn
_chemical_formula_sum 'Pm4 Hf4 Al4 Zn4'
_space_group_name_H-M_alt 'F -4 3 m'
_space_group_IT_number 216
_space_group_name_Hall 'F -4 2 3'
_cell_length_a 6.992
_cell_length_b 6.992
_cell_length_c 6.992
_cell_angle_alpha 90.00
_cell_angle_beta 90.00
_cell_angle_gamma 90.00
loop_
_atom_site_label
_atom_site_type_symbol
_atom_site_fract_x
_atom_site_fract_y
_atom_site_fract_z
Pm1 Pm 0.000 0.000 0.000
Hf1 Hf 0.000 0.000 0.500
Al1 Al 0.250 0.250 0.750
Zn1 Zn 0.250 0.250 0.250

Record 3
# PBE-GGA PrHfAlPt2, relaxed
# theoretical density = 11.508 g/cm3
data_PrHfAlPt2
_chemical_formula_sum 'Pr2 Hf2 Al2 Pt4'
_space_group_name_H-M_alt 'I -4 m 2'
_space_group_IT_number 119
_space_group_name_Hall 'I -4 -2'
_cell_length_a 4.244
_cell_length_b 4.244
_cell_length_c 11.800
_cell_angle_alpha 90.00
_cell_angle_beta 90.00
_cell_angle_gamma 90.00
loop_
_atom_site_label
_atom_site_type_symbol
_atom_site_fract_x
_atom_site_fract_y
_atom_site_fract_z
Pr1 Pr 0.000 0.000 0.000
Hf1 Hf 0.000 0.500 0.750
Al1 Al 0.000 0.500 0.250
Pt1 Pt 0.000 0.000 0.385

Record 4
# PBE-GGA Pr2HfAl4Pt3, relaxed
# theoretical density = 9.424 g/cm3
data_Pr2HfAl4Pt3
_chemical_formula_sum 'Pr2 Hf1 Al4 Pt3'
_space_group_name_H-M_alt 'P -4 m 2'
_space_group_IT_number 115
_cell_length_a 4.242
_cell_length_b 4.242
_cell_length_c 11.297
_cell_angle_alpha 90.00
_cell_angle_beta 90.00
_cell_angle_gamma 90.00
loop_
_space_group_symop_operation_xyz
'x,y,z'
'y,-x,-z'
'-x,-y,z'
'-y,x,-z'
'-x,y,z'
'-y,-x,-z'
'x,-y,z'
'y,x,-z'
loop_
_atom_site_label
_atom_site_type_symbol
_atom_site_fract_x
_atom_site_fract_y
_atom_site_fract_z
Pr1 Pr 0.000 0.500 0.241
Hf1 Hf 0.000 0.000 0.500
Al1 Al 0.000 0.000 0.000
Al2 Al 0.000 0.500 0.655
Al3 Al 0.500 0.500 0.000
Pt1 Pt 0.000 0.500 0.876
Pt2 Pt 0.500 0.500 0.500

Record 5
# PBE-GGA Pr2HfAlPt6, relaxed
# theoretical density = 12.788 g/cm3
data_Pr2HfAlPt6
_chemical_formula_sum 'Pr2 Hf1 Al1 Pt6'
_space_group_name_H-M_alt 'P -1'
_space_group_IT_number 2
_cell_length_a 5.551
_cell_length_b 6.712
_cell_length_c 6.920
_cell_angle_alpha 79.19
_cell_angle_beta 66.41
_cell_angle_gamma 65.71
loop_
_space_group_symop_operation_xyz
'x,y,z'
'-x,-y,-z'
loop_
_atom_site_label
_atom_site_type_symbol
_atom_site_fract_x
_atom_site_fract_y
_atom_site_fract_z
Pr1 Pr 0.245 0.306 0.205
Hf1 Hf 0.000 0.000 0.000
Al1 Al 0.500 0.500 0.500
Pt1 Pt 0.252 0.258 0.750
Pt2 Pt 0.255 0.897 0.597
Pt3 Pt 0.258 0.744 0.251

Record 6
# PBE-GGA HfAlPt3, relaxed
# energy above the most stable polymorph in this dataset = 0 meV/atom
# theoretical density = 15.781 g/cm3
data_HfAlPt3
_chemical_formula_sum 'Hf4 Al4 Pt12'
_space_group_name_H-M_alt 'C 1 2/m 1'
_space_group_IT_number 12
_cell_length_a 13.220
_cell_length_b 4.751
_cell_length_c 5.581
_cell_angle_alpha 90.00
_cell_angle_beta 108.30
_cell_angle_gamma 90.00
loop_
_space_group_symop_operation_xyz
'x,y,z'
'-x,-y,-z'
'-x,y,-z'
'x,-y,z'
'x+1/2,y+1/2,z'
'-x+1/2,-y+1/2,-z'
'-x+1/2,y+1/2,-z'
'x+1/2,-y+1/2,z'
loop_
_atom_site_label
_atom_site_type_symbol
_atom_site_fract_x
_atom_site_fract_y
_atom_site_fract_z
Hf1 Hf 0.185 0.000 0.138
Al1 Al 0.095 0.500 0.400
Pt1 Pt 0.007 0.000 0.264
Pt2 Pt 0.111 0.500 0.880
Pt3 Pt 0.210 0.000 0.658

Record 7
# PBE-GGA HfAl3Pt4, relaxed
# theoretical density = 13.584 g/cm3
data_HfAl3Pt4
_chemical_formula_sum 'Hf3 Al9 Pt12'
_space_group_name_H-M_alt 'R -3 m'
_space_group_IT_number 166
_space_group_name_Hall '-R 3 2"'
_cell_length_a 4.3006
_cell_length_b 4.3006
_cell_length_c 23.8054
_cell_angle_alpha 90.00
_cell_angle_beta 90.00
_cell_angle_gamma 120.00
loop_
_atom_site_label
_atom_site_type_symbol
_atom_site_fract_x
_atom_site_fract_y
_atom_site_fract_z
Hf1 Hf 0.0000 0.0000 0.0000
Al1 Al 0.0000 0.0000 0.2494
Al2 Al 0.0000 0.0000 0.5000
Pt1 Pt 0.0000 0.0000 0.1309
Pt2 Pt 0.0000 0.0000 0.3943

Record 8
# PBE-GGA Hf2Al2Pt, relaxed
# energy above the most stable polymorph in this dataset = 380 meV/atom
# theoretical density = 9.956 g/cm3
data_Hf2Al2Pt
_chemical_formula_sum 'Hf8 Al8 Pt4'
_space_group_name_H-M_alt 'I b a m'
_space_group_IT_number 72
_space_group_name_Hall '-I 2 2c'
_cell_length_a 6.592
_cell_length_b 11.383
_cell_length_c 5.389
_cell_angle_alpha 90.00
_cell_angle_beta 90.00
_cell_angle_gamma 90.00
loop_
_atom_site_label
_atom_site_type_symbol
_atom_site_fract_x
_atom_site_fract_y
_atom_site_fract_z
Hf1 Hf 0.158 0.093 0.000
Al1 Al 0.208 0.345 0.000
Pt1 Pt 0.000 0.500 0.250

In the order shown, the computed DFT formation energy values come out to -113 -204 -1038 -909 -887 -1030 -1014 -362 meV/atom.
In the order shown, the computed M_tot values come out to 0.00 0.00 0.00 0.00 0.00 0.00 0.00 0.00 μB/atom.